(1)
Below is crystalline CeSn2Ir2 at its relaxed geometry, with properties calculated at the PBE-GGA level.

Cell: 4.4537 4.4537 10.9932 Å, 90.00 90.00 90.00°
Atoms (fractional coordinates):
Ce1 0.2500 0.2500 0.2491
Ce2 0.7500 0.7500 0.7509
Sn1 0.2500 0.2500 0.8691
Sn2 0.2500 0.7500 0.5000
Sn3 0.7500 0.2500 0.5000
Sn4 0.7500 0.7500 0.1309
Ir1 0.2500 0.2500 0.6348
Ir2 0.2500 0.7500 0.0000
Ir3 0.7500 0.2500 0.0000
Ir4 0.7500 0.7500 0.3652

Its symmetry is No. 129. The calculation puts the calculated formation energy at -2.6 eV/f.u. The size of the total moment comes out at 0.145 μB/atom.

(2)
Below is crystalline CeSnIr at its relaxed geometry, with properties calculated at the PBE-GGA level.

Cell: 13.2890 4.0059 7.6202 Å, 90.00 90.00 90.00°
Atoms (fractional coordinates):
Ce1 0.0454 0.0000 0.2264
Ce2 0.2500 0.0000 0.8526
Ce3 0.4546 0.0000 0.2264
Ce4 0.5454 0.0000 0.7736
Ce5 0.7500 0.0000 0.1474
Ce6 0.9546 0.0000 0.7736
Sn1 0.1232 0.5000 0.5673
Sn2 0.2500 0.5000 0.1934
Sn3 0.3768 0.5000 0.5673
Sn4 0.6232 0.5000 0.4327
Sn5 0.7500 0.5000 0.8066
Sn6 0.8768 0.5000 0.4327
Ir1 0.1002 0.5000 0.9303
Ir2 0.2500 0.0000 0.4443
Ir3 0.3998 0.5000 0.9303
Ir4 0.6002 0.5000 0.0697
Ir5 0.7500 0.0000 0.5557
Ir6 0.8998 0.5000 0.0697

Its symmetry is No. 51. The calculation puts the calculated formation energy at -2.3 eV/f.u. The size of the total moment comes out at 0.133 μB/atom.

(3)
Below is crystalline Ce3SnIr8 at its relaxed geometry, with properties calculated at the PBE-GGA level.

Cell: 9.3058 9.3058 9.3058 Å, 33.64 33.64 33.64°
Atoms (fractional coordinates):
Ce1 0.0000 0.0000 0.0000
Ce2 0.1272 0.1272 0.1272
Ce3 0.5081 0.5081 0.5081
Sn1 0.6328 0.6328 0.6328
Ir1 0.0657 0.0657 0.5627
Ir2 0.0657 0.5627 0.0657
Ir3 0.0658 0.5655 0.5655
Ir4 0.3145 0.3145 0.3145
Ir5 0.5627 0.0657 0.0657
Ir6 0.5655 0.0658 0.5655
Ir7 0.5655 0.5655 0.0658
Ir8 0.8149 0.8149 0.8149

Its symmetry is No. 160. The calculation puts the calculated formation energy at -7.3 eV/f.u. The size of the total moment comes out at 0.000 μB/atom.

(4)
Below is crystalline Ce4Sn8Ir at its relaxed geometry, with properties calculated at the PBE-GGA level.

Cell: 4.4809 4.5391 17.0441 Å, 90.00 90.00 90.00°
Atoms (fractional coordinates):
Ce1 0.0000 0.0000 0.0000
Ce2 0.0000 0.5000 0.4856
Ce3 0.5000 0.0000 0.7819
Ce4 0.5000 0.5000 0.2913
Sn1 0.0000 0.0000 0.3239
Sn2 0.0000 0.0000 0.6206
Sn3 0.0000 0.5000 0.1455
Sn4 0.0000 0.5000 0.8545
Sn5 0.5000 0.0000 0.1473
Sn6 0.5000 0.0000 0.4477
Sn7 0.5000 0.5000 0.6192
Sn8 0.5000 0.5000 0.9694
Ir1 0.0000 0.5000 0.7025

Its symmetry is No. 25. The calculation puts the calculated formation energy at -7.3 eV/f.u. The size of the total moment comes out at 0.177 μB/atom.

(5)
Below is crystalline CeSnIr at its relaxed geometry, with properties calculated at the PBE-GGA level.

Cell: 3.8319 3.8319 9.7961 Å, 90.00 90.00 90.00°
Atoms (fractional coordinates):
Ce1 0.0000 0.0000 0.0000
Ce2 0.5000 0.5000 0.5000
Sn1 0.0000 0.0000 0.3095
Sn2 0.5000 0.5000 0.8095
Ir1 0.0000 0.0000 0.5958
Ir2 0.5000 0.5000 0.0958

Its symmetry is No. 107. The calculation puts the calculated formation energy at -1.0 eV/f.u. The size of the total moment comes out at 0.000 μB/atom.

(6)
Below is crystalline Ce11Sn9Ir4 at its relaxed geometry, with properties calculated at the PBE-GGA level.

Cell: 12.6799 12.6799 4.0811 Å, 90.00 90.00 112.22°
Atoms (fractional coordinates):
Ce1 0.0000 0.0000 0.0000
Ce2 0.0714 0.4155 0.0000
Ce3 0.1593 0.8407 0.0000
Ce4 0.3104 0.3104 0.0000
Ce5 0.3729 0.6271 0.0000
Ce6 0.4155 0.0714 0.0000
Ce7 0.5845 0.9286 0.0000
Ce8 0.6271 0.3729 0.0000
Ce9 0.6896 0.6896 0.0000
Ce10 0.8407 0.1593 0.0000
Ce11 0.9286 0.5845 0.0000
Sn1 0.0726 0.2188 0.5000
Sn2 0.1557 0.6304 0.5000
Sn3 0.2188 0.0726 0.5000
Sn4 0.3696 0.8443 0.5000
Sn5 0.5000 0.5000 0.5000
Sn6 0.6304 0.1557 0.5000
Sn7 0.7812 0.9274 0.5000
Sn8 0.8443 0.3696 0.5000
Sn9 0.9274 0.7812 0.5000
Ir1 0.2426 0.4481 0.5000
Ir2 0.4481 0.2426 0.5000
Ir3 0.5519 0.7574 0.5000
Ir4 0.7574 0.5519 0.5000

Its symmetry is No. 65. The calculation puts the calculated formation energy at -17.2 eV/f.u. The size of the total moment comes out at 0.263 μB/atom.

(7)
Below is crystalline Ce5Sn2Ir2 at its relaxed geometry, with properties calculated at the PBE-GGA level.

Cell: 10.3391 10.3391 10.3391 Å, 62.00 131.34 143.99°
Atoms (fractional coordinates):
Ce1 0.2074 0.0246 0.2320
Ce2 0.2074 0.4754 0.6828
Ce3 0.3822 0.4166 0.4656
Ce4 0.6977 0.1442 0.2250
Ce5 0.6977 0.9727 0.0535
Ce6 0.7926 0.5246 0.3172
Ce7 0.7926 0.9754 0.7680
Ce8 0.9192 0.4727 0.7750
Ce9 0.9192 0.6442 0.9465
Ce10 0.9510 0.9166 0.5344
Sn1 0.2938 0.4251 0.0772
Sn2 0.2938 0.7166 0.3687
Sn3 0.3479 0.2166 0.9228
Sn4 0.3479 0.9251 0.6313
Ir1 0.4001 0.6991 0.2011
Ir2 0.4980 0.1991 0.7989
Ir3 0.6846 0.1846 0.5000
Ir4 0.6846 0.6846 0.0000

Its symmetry is No. 46. The calculation puts the calculated formation energy at -4.6 eV/f.u. The size of the total moment comes out at 0.429 μB/atom.

(8)
Below is crystalline Ce8SnIr2 at its relaxed geometry, with properties calculated at the PBE-GGA level.

Cell: 7.9330 7.9330 5.3180 Å, 97.15 97.15 116.24°
Atoms (fractional coordinates):
Ce1 0.0888 0.0888 0.8131
Ce2 0.2116 0.4263 0.4389
Ce3 0.2461 0.7539 0.0000
Ce4 0.4263 0.2116 0.4389
Ce5 0.5737 0.7884 0.5611
Ce6 0.7539 0.2461 0.0000
Ce7 0.7884 0.5737 0.5611
Ce8 0.9112 0.9112 0.1869
Sn1 0.5000 0.5000 0.0000
Ir1 0.1937 0.8063 0.5000
Ir2 0.8063 0.1937 0.5000

Its symmetry is No. 12. The calculation puts the calculated formation energy at -4.1 eV/f.u. The size of the total moment comes out at 0.326 μB/atom.

(9)
Below is crystalline Ce12Sn6Ir at its relaxed geometry, with properties calculated at the PBE-GGA level.

Cell: 7.9242 7.9242 7.9242 Å, 89.23 89.23 89.23°
Atoms (fractional coordinates):
Ce1 0.0022 0.9121 0.2802
Ce2 0.0879 0.7198 0.9978
Ce3 0.1417 0.4344 0.3542
Ce4 0.2802 0.0022 0.9121
Ce5 0.3542 0.1417 0.4344
Ce6 0.4344 0.3542 0.1417
Ce7 0.5656 0.6458 0.8583
Ce8 0.6458 0.8583 0.5656
Ce9 0.7198 0.9978 0.0879
Ce10 0.8583 0.5656 0.6458
Ce11 0.9121 0.2802 0.0022
Ce12 0.9978 0.0879 0.7198
Sn1 0.2336 0.7598 0.5981
Sn2 0.2402 0.4019 0.7664
Sn3 0.4019 0.7664 0.2402
Sn4 0.5981 0.2336 0.7598
Sn5 0.7598 0.5981 0.2336
Sn6 0.7664 0.2402 0.4019
Ir1 0.5000 0.5000 0.5000

Its symmetry is No. 148. The calculation puts the calculated formation energy at -6.5 eV/f.u. The size of the total moment comes out at 0.335 μB/atom.

(10)
Below is crystalline Sr2CeSn3Ir4 at its relaxed geometry, with properties calculated at the PBE-GGA level.

Cell: 4.5713 4.5713 11.3190 Å, 90.00 90.00 90.00°
Atoms (fractional coordinates):
Sr1 0.0000 0.5000 0.2273
Sr2 0.5000 0.0000 0.7727
Ce1 0.0000 0.0000 0.5000
Sn1 0.0000 0.5000 0.8751
Sn2 0.5000 0.0000 0.1249
Sn3 0.5000 0.5000 0.5000
Ir1 0.0000 0.0000 0.0000
Ir2 0.0000 0.5000 0.6369
Ir3 0.5000 0.0000 0.3631
Ir4 0.5000 0.5000 0.0000

Its symmetry is No. 115. The calculation puts the calculated formation energy at -5.3 eV/f.u. The size of the total moment comes out at 0.000 μB/atom.

V: 218.1; 405.7; 220.3; 346.7; 143.8; 607.4; 482.5; 291.7; 497.5; 236.5 (Å³/cell)
Calculated total energy: -6.8578; -7.0349; -8.3335; -5.5299; -6.6122; -6.4157; -6.6687; -6.6653; -5.8217; -6.2070 (eV per atom)